The following is a DFT calculation (PBE) of a relaxed Na4PmSn5 crystal.

a = 3.278 Å, b = 3.278 Å, c = 24.999 Å
α = 90.00°, β = 90.00°, γ = 90.00°
Fractional coordinates of all 10 atoms:
1 Na 0.000 0.000 0.101
2 Na 0.000 0.000 0.302
3 Na 0.000 0.000 0.698
4 Na 0.000 0.000 0.899
5 Pm 0.000 0.000 0.500
6 Sn 0.500 0.500 0.000
7 Sn 0.500 0.500 0.200
8 Sn 0.500 0.500 0.401
9 Sn 0.500 0.500 0.599
10 Sn 0.500 0.500 0.800

Calculated values
Calculated formation energy: -6.00 kcal/mol of atoms
Space-group type: P4/mmm (123)

The following is a DFT calculation (PBE) of a relaxed Cs2CrAsCl6 crystal.

a = 7.353 Å, b = 7.353 Å, c = 7.353 Å
α = 119.95°, β = 119.95°, γ = 90.09°
Fractional coordinates of all 10 atoms:
1 Cs 0.250 0.750 0.500
2 Cs 0.750 0.250 0.500
3 Cr 0.000 0.000 0.000
4 As 0.500 0.500 0.000
5 Cl 0.241 0.241 0.483
6 Cl 0.241 0.759 0.000
7 Cl 0.245 0.245 0.000
8 Cl 0.755 0.755 0.000
9 Cl 0.759 0.241 0.000
10 Cl 0.759 0.759 0.517

Calculated values
Uncorrected formation energy: -1.19 eV/atom
Space-group type: I4/mmm (139)

The following is a DFT calculation (PBE) of a relaxed Ba3Au2O crystal.

a = 9.556 Å, b = 4.528 Å, c = 18.936 Å
α = 90.00°, β = 90.00°, γ = 90.00°
Fractional coordinates of all 24 atoms:
1 Ba 0.008 0.250 0.104
2 Ba 0.137 0.250 0.572
3 Ba 0.185 0.750 0.264
4 Ba 0.315 0.250 0.764
5 Ba 0.363 0.750 0.072
6 Ba 0.492 0.750 0.604
7 Ba 0.508 0.250 0.396
8 Ba 0.637 0.250 0.928
9 Ba 0.685 0.750 0.236
10 Ba 0.815 0.250 0.736
11 Ba 0.863 0.750 0.428
12 Ba 0.992 0.750 0.896
13 Au 0.070 0.750 0.710
14 Au 0.241 0.750 0.453
15 Au 0.259 0.250 0.953
16 Au 0.430 0.250 0.210
17 Au 0.570 0.750 0.790
18 Au 0.741 0.750 0.047
19 Au 0.759 0.250 0.547
20 Au 0.930 0.250 0.290
21 O 0.130 0.750 0.133
22 O 0.370 0.250 0.633
23 O 0.630 0.750 0.367
24 O 0.870 0.250 0.867

Calculated values
Uncorrected formation energy: -1.24 eV/atom
Space-group type: Pnma (62)

The following is a DFT calculation (PBE) of a relaxed Cs2HgTeI6 crystal.

a = 8.863 Å, b = 8.863 Å, c = 8.863 Å
α = 119.18°, β = 119.18°, γ = 91.42°
Fractional coordinates of all 10 atoms:
1 Cs 0.250 0.750 0.500
2 Cs 0.750 0.250 0.500
3 Hg 0.000 0.000 0.000
4 Te 0.500 0.500 0.000
5 I 0.222 0.222 0.000
6 I 0.266 0.266 0.531
7 I 0.266 0.734 0.000
8 I 0.734 0.266 0.000
9 I 0.734 0.734 0.469
10 I 0.778 0.778 0.000

Calculated values
Uncorrected formation energy: -0.74 eV/atom
Space-group type: I4/mmm (139)

The following is a DFT calculation (PBE) of a relaxed LiB3Pb crystal.

a = 4.114 Å, b = 4.114 Å, c = 4.114 Å
α = 90.00°, β = 90.00°, γ = 90.00°
Fractional coordinates of all 5 atoms:
1 Li 0.000 0.000 0.000
2 B 0.000 0.000 0.500
3 B 0.000 0.500 0.000
4 B 0.500 0.000 0.000
5 Pb 0.500 0.500 0.500

Calculated values
Calculated formation energy: 43.37 kcal/mol of atoms
Space-group type: Pm-3m (221)

The following is a DFT calculation (PBE) of a relaxed La2Al3Cu12Pd crystal.

a = 9.973 Å, b = 9.973 Å, c = 9.973 Å
α = 35.88°, β = 35.88°, γ = 35.88°
Fractional coordinates of all 18 atoms:
1 La 0.151 0.151 0.151
2 La 0.849 0.849 0.849
3 Al 0.000 0.500 0.500
4 Al 0.500 0.000 0.500
5 Al 0.500 0.500 0.000
6 Cu 0.082 0.082 0.691
7 Cu 0.082 0.691 0.082
8 Cu 0.145 0.568 0.568
9 Cu 0.309 0.918 0.918
10 Cu 0.432 0.432 0.855
11 Cu 0.432 0.855 0.432
12 Cu 0.568 0.145 0.568
13 Cu 0.568 0.568 0.145
14 Cu 0.691 0.082 0.082
15 Cu 0.855 0.432 0.432
16 Cu 0.918 0.309 0.918
17 Cu 0.918 0.918 0.309
18 Pd 0.500 0.500 0.500

Calculated values
Calculated formation energy: 1.01 kcal/mol of atoms
Space-group type: R-3m (166)